1.
The following is a DFT calculation (GGA-PBE) of a relaxed BaLiLa2Ir crystal.

Values from the calculation:
* DOS at the Fermi energy: 4.91 states/eV per cell
* raw total energy: -4.701 eV per atom
* energy of formation: -191 meV per atom

Unit cell a=5.577 b=5.577 c=5.660 alpha=90.00 beta=90.00 gamma=90.00
Element x y z (fractional)
1 Ir 0.000 0.000 0.000
2 Li 0.000 0.000 0.500
3 Ba 0.500 0.500 0.500
4 La 0.000 0.500 0.000
5 La 0.500 0.000 0.000

2.
The following is a DFT calculation (GGA-PBE) of a relaxed BaLiLa2Ir crystal.

Values from the calculation:
* DOS at the Fermi energy: 3.55 states/eV per cell
* raw total energy: -4.714 eV per atom
* energy of formation: -203 meV per atom

Unit cell a=5.595 b=5.595 c=6.436 alpha=90.00 beta=90.00 gamma=90.00
Element x y z (fractional)
1 Ir 0.000 0.000 0.000
2 Li 0.500 0.500 0.500
3 Ba 0.000 0.000 0.500
4 La 0.000 0.500 0.000
5 La 0.500 0.000 0.000

3.
The following is a DFT calculation (GGA-PBE) of a relaxed Ba2LaMgIr crystal.

Values from the calculation:
* DOS at the Fermi energy: 3.77 states/eV per cell
* raw total energy: -3.988 eV per atom
* energy of formation: -143 meV per atom

Unit cell a=6.263 b=6.263 c=5.465 alpha=90.00 beta=90.00 gamma=90.00
Element x y z (fractional)
1 Mg 0.500 0.500 0.500
2 Ir 0.000 0.000 0.000
3 Ba 0.000 0.500 0.000
4 Ba 0.500 0.000 0.000
5 La 0.000 0.000 0.500

4.
The following is a DFT calculation (GGA-PBE) of a relaxed BaNaLa2Ir crystal.

Values from the calculation:
* DOS at the Fermi energy: 5.12 states/eV per cell
* raw total energy: -4.543 eV per atom
* energy of formation: -151 meV per atom

Unit cell a=5.574 b=5.574 c=6.190 alpha=90.00 beta=90.00 gamma=90.00
Element x y z (fractional)
1 Na 0.000 0.000 0.500
2 Ir 0.000 0.000 0.000
3 Ba 0.500 0.500 0.500
4 La 0.000 0.500 0.000
5 La 0.500 0.000 0.000